Material: TbTlTe2
Method: DFT, PBEsol
State: optimized geometry

Results
* formation energy without anion corrections: -1014 meV per atom
* spin magnetization: 0.000 μB per cell
* SG: No. 166

Lattice parameters (Å, degrees): 4.362 4.362 24.013 90.00 90.00 120.00
Fractional coordinates of all 12 atoms:
Tb 0.000 0.000 0.000
Tb 0.333 0.667 0.667
Tb 0.667 0.333 0.333
Tl 0.000 0.000 0.500
Tl 0.333 0.667 0.167
Tl 0.667 0.333 0.833
Te 0.000 0.000 0.260
Te 0.000 0.000 0.740
Te 0.333 0.667 0.406
Te 0.333 0.667 0.927
Te 0.667 0.333 0.073
Te 0.667 0.333 0.594

Material: Tb2Tl
Method: DFT, PBEsol
State: optimized geometry

Results
* spin magnetization: 0.965 μB per cell
* E_tot: -4.538 eV/atom
* SG: No. 194

Lattice parameters (Å, degrees): 5.334 5.334 6.610 90.00 90.00 120.00
Fractional coordinates of all 6 atoms:
Tb 0.000 0.000 0.000
Tb 0.000 0.000 0.500
Tb 0.333 0.667 0.250
Tb 0.667 0.333 0.750
Tl 0.333 0.667 0.750
Tl 0.667 0.333 0.250

Material: Tb3Tm
Method: DFT, PBEsol
State: optimized geometry

Results
* spin magnetization: 0.000 μB per cell
* E_tot: -4.969 eV/atom
* SG: No. 221

Lattice parameters (Å, degrees): 4.896 4.896 4.896 90.00 90.00 90.00
Fractional coordinates of all 4 atoms:
Tb 0.000 0.000 0.500
Tb 0.000 0.500 0.000
Tb 0.500 0.000 0.000
Tm 0.500 0.500 0.500

- Look up the spin magnetization of the third one.
  0.000 μB per cell